Record 1
The following is a PBE-GGA calculation of ReMo2HPt after structural relaxation, from Alexandria via LeMat-Bulk.

```
ReMo2HPt
1.0
-1.1682 0.4855 3.7945
3.3895 -1.7080 1.2621
1.7598 3.5563 0.0867
Re Mo Pt H
1 2 1 1
Direct
0.0000 0.0000 0.5000
0.0000 0.5000 0.0000
0.5000 0.0000 0.0000
0.5000 0.5000 0.5000
0.0000 0.0000 0.0000
```

Results
Space group = P4/mmm, No. 123
Total energy = -8.78 eV/atom

***

Record 2
The following is a PBE-GGA calculation of Nd3Tl3SnTe8 after structural relaxation, from Alexandria via LeMat-Bulk.

```
Nd3Tl3SnTe8
1.0
-7.1891 -4.0135 3.7555
4.1803 -3.8656 -7.0322
4.5244 -0.0947 8.5597
Nd Tl Sn Te
3 3 1 8
Direct
0.5000 0.0000 0.5000
0.5000 0.5000 0.5000
0.0000 0.5000 0.5000
0.0000 0.0000 0.0000
0.0000 0.5000 0.0000
0.5000 0.5000 0.0000
0.0000 0.0000 0.5000
0.2588 0.5177 0.2765
0.7412 0.4823 0.7235
0.7686 0.5373 0.2868
0.2314 0.4627 0.7132
0.7687 0.0182 0.2868
0.2313 0.9818 0.7132
0.2495 0.0182 0.2868
0.7505 0.9818 0.7132
```

Results
Space group = R-3m, No. 166
E_form (uncorrected) = -841 meV per atom
Total energy = -4.21 eV/atom

***

Record 3
The following is a PBE-GGA calculation of LaFePb after structural relaxation, from Alexandria via LeMat-Bulk.

```
LaFePb
1.0
-4.5782 0.3033 -2.3154
-1.7601 -3.9731 -2.7441
-3.9530 -2.7803 1.7483
Fe La Pb
1 1 1
Direct
0.5000 0.5000 0.5000
0.7500 0.7500 0.7500
0.0000 0.0000 0.0000
```

Results
Formation energy from the elements = 729.4 meV per atom
Space group = F-43m, No. 216
Total energy = -4.97 eV/atom

***

Record 4
The following is a PBE-GGA calculation of NdGdLuTh after structural relaxation, from Alexandria via LeMat-Bulk.

```
NdGdLuTh
1.0
5.6859 0.0000 0.0000
2.8430 4.9242 0.0000
2.8430 1.6414 4.6425
Gd Lu Nd Th
1 1 1 1
Direct
0.5000 0.5000 0.5000
0.0000 0.0000 0.0000
0.2500 0.2500 0.2500
0.7500 0.7500 0.7500
```

Results
Formation energy from the elements = 131.8 meV per atom
Space group = F-43m, No. 216
Total energy = -7.57 eV/atom

***

Record 5
The following is a PBE-GGA calculation of Pr2Pb17Se20 after structural relaxation, from Alexandria via LeMat-Bulk.

```
Pr2Pb17Se20
1.0
-8.4389 -0.8008 -4.9234
-5.8125 -3.5725 -7.0391
-12.6552 -22.4764 13.7342
Pr Pb Se
2 17 20
Direct
0.4020 0.4020 0.9037
0.5980 0.5980 0.0963
0.6968 0.6968 0.9497
0.2038 0.2038 0.2002
0.3032 0.3032 0.0503
0.8010 0.8010 0.2977
0.9068 0.9068 0.1440
0.3985 0.3985 0.4012
0.4980 0.4980 0.2512
0.0000 0.0000 0.5000
0.1010 0.1010 0.3500
0.7008 0.7008 0.4486
0.6015 0.6015 0.5988
0.1990 0.1990 0.7023
0.2992 0.2992 0.5514
0.8990 0.8990 0.6500
0.7962 0.7962 0.7998
0.5020 0.5020 0.7488
0.0932 0.0932 0.8560
0.5466 0.5466 0.9224
0.1535 0.1535 0.0289
0.7462 0.7462 0.1230
0.8465 0.8465 0.9711
0.4534 0.4534 0.0776
0.3472 0.3472 0.2275
0.9515 0.9515 0.3226
0.0544 0.0544 0.1690
0.5494 0.5494 0.4247
0.6486 0.6486 0.2739
0.2481 0.2481 0.3769
0.1487 0.1487 0.5266
0.8513 0.8513 0.4734
0.7519 0.7519 0.6231
0.4506 0.4506 0.5753
0.3514 0.3514 0.7261
0.0485 0.0485 0.6774
0.9456 0.9456 0.8310
0.6528 0.6528 0.7725
0.2538 0.2538 0.8770
```

Results
Space group = C2/m, No. 12
E_form (uncorrected) = -725 meV per atom
Total energy = -4.37 eV/atom

***

Record 6
The following is a PBE-GGA calculation of Sr2LiSnIr after structural relaxation, from Alexandria via LeMat-Bulk.

```
Sr2LiSnIr
1.0
5.8808 0.0000 0.0000
0.0000 5.8808 0.0000
0.0000 0.0000 5.1064
Sr Ir Sn Li
2 1 1 1
Direct
0.0000 0.5000 0.0000
0.5000 0.0000 0.0000
0.0000 0.0000 0.0000
0.0000 0.0000 0.5000
0.5000 0.5000 0.5000
```

Results
Formation energy from the elements = -217.0 meV per atom
Space group = P4/mmm, No. 123
Total energy = -3.85 eV/atom

***

Record 7
The following is a PBE-GGA calculation of NdUSe after structural relaxation, from Alexandria via LeMat-Bulk.

```
NdUSe
1.0
4.5276 0.0000 0.0000
0.0000 3.7363 0.0000
0.0000 1.8681 9.4233
Nd U Se
2 2 2
Direct
0.2500 0.1486 0.7028
0.7500 0.8514 0.2972
0.2500 0.4697 0.0605
0.7500 0.5303 0.9395
0.7500 0.6839 0.6322
0.2500 0.3161 0.3678
```

Results
Space group = Cmcm, No. 63
E_form (uncorrected) = -748 meV per atom
Total energy = -7.26 eV/atom

***

Record 8
The following is a PBE-GGA calculation of MnAlFe after structural relaxation, from Alexandria via LeMat-Bulk.

```
MnAlFe
1.0
5.2645 -0.0814 0.0904
4.6281 2.5124 0.0328
0.6364 0.2147 2.5855
Mn Fe Al
1 1 1
Direct
0.6758 0.6758 0.3242
0.3262 0.3262 0.6738
0.9980 0.9980 0.0020
```

Results
Formation energy from the elements = -190.4 meV per atom
Space group = I4mm, No. 107
Total energy = -7.32 eV/atom

***

Record 9
The following is a PBE-GGA calculation of NbInPd after structural relaxation, from Alexandria via LeMat-Bulk.

```
NbInPd
1.0
-2.5414 -0.2325 -1.6221
1.5604 -1.2573 -2.2646
-0.4885 -4.6170 4.2456
Nb Pd In
1 1 1
Direct
0.0082 0.0082 0.0164
0.6643 0.6643 0.3285
0.3275 0.3275 0.6551
```

Results
Formation energy from the elements = -243.9 meV per atom
Space group = I4mm, No. 107
Total energy = -6.24 eV/atom

***

Record 10
The following is a PBE-GGA calculation of VPHRuS after structural relaxation, from Alexandria via LeMat-Bulk.

```
VPHRuS
1.0
-3.5957 0.3433 5.1521
0.9765 -2.6975 0.8613
7.3691 3.0779 1.2847
V P H Ru S
2 2 2 2 2
Direct
0.1604 0.0000 0.5469
0.1604 0.5000 0.0469
0.4644 0.0000 0.2147
0.4644 0.5000 0.7147
0.1836 0.0000 0.8711
0.1836 0.5000 0.3711
0.4806 0.0000 0.9329
0.4806 0.5000 0.4329
0.8874 0.0000 0.0419
0.8874 0.5000 0.5419
```

Results
Space group = Cm, No. 8
Total energy = -6.58 eV/atom

***

Record 11
The following is a PBE-GGA calculation of DyHoAgSn after structural relaxation, from Alexandria via LeMat-Bulk.

```
DyHoAgSn
1.0
5.2197 0.0000 0.0000
2.6098 4.5204 0.0000
2.6098 1.5068 4.2618
Ag Ho Sn Dy
1 1 1 1
Direct
0.2500 0.2500 0.2500
0.5000 0.5000 0.5000
0.7500 0.7500 0.7500
0.0000 0.0000 0.0000
```

Results
Formation energy from the elements = -504.3 meV per atom
Space group = F-43m, No. 216
Total energy = -4.51 eV/atom

***

Record 12
The following is a PBE-GGA calculation of K3NiRu after structural relaxation, from Alexandria via LeMat-Bulk.

```
K3NiRu
1.0
5.9246 0.0000 0.0000
0.0000 5.9246 0.0000
0.0000 0.0000 5.9246
Ru K Ni
1 3 1
Direct
0.0000 0.0000 0.0000
0.0000 0.5000 0.0000
0.0000 0.0000 0.5000
0.5000 0.0000 0.0000
0.5000 0.5000 0.5000
```

Results
Formation energy from the elements = 1440.8 meV per atom
Space group = Pm-3m, No. 221
Total energy = -2.23 eV/atom